No. 1
Here is crystalline HgTeI2O at its relaxed geometry from Alexandria via LeMat-Bulk. Energies are from GGA-PBE.

Calculated values
DOS at the Fermi energy = 2.43 states/eV/cell

```
data_HgTeI2O
_cell_length_a 5.424
_cell_length_b 5.424
_cell_length_c 4.543
_cell_angle_alpha 90.00
_cell_angle_beta 90.00
_cell_angle_gamma 90.00
_symmetry_space_group_name_H-M 'P 4/m m m'
_symmetry_Int_Tables_number 123
_symmetry_space_group_name_Hall '-P 4 2'
loop_
_atom_site_label
_atom_site_fract_x
_atom_site_fract_y
_atom_site_fract_z
_atom_site_occupancy
Hg1 0.000 0.000 0.000 1
Te1 0.500 0.500 0.000 1
I1 0.000 0.500 0.500 1
O1 0.500 0.500 0.500 1
```

No. 2
Here is crystalline HgTe2IO at its relaxed geometry from Alexandria via LeMat-Bulk. Energies are from GGA-PBE.

Calculated values
DOS at the Fermi energy = 4.73 states/eV/cell

```
data_HgTe2IO
_cell_length_a 5.695
_cell_length_b 5.695
_cell_length_c 6.171
_cell_angle_alpha 90.00
_cell_angle_beta 90.00
_cell_angle_gamma 90.00
_symmetry_space_group_name_H-M 'P 4/m m m'
_symmetry_Int_Tables_number 123
_symmetry_space_group_name_Hall '-P 4 2'
loop_
_atom_site_label
_atom_site_fract_x
_atom_site_fract_y
_atom_site_fract_z
_atom_site_occupancy
Hg1 0.000 0.000 0.000 1
Te1 0.000 0.500 0.000 1
I1 0.000 0.000 0.500 1
O1 0.500 0.500 0.500 1
```

No. 3
Here is crystalline HgTeI2O at its relaxed geometry from Alexandria via LeMat-Bulk. Energies are from GGA-PBE.

Calculated values
DOS at the Fermi energy = 4.61 states/eV/cell

```
data_HgTeI2O
_cell_length_a 6.188
_cell_length_b 6.188
_cell_length_c 4.082
_cell_angle_alpha 90.00
_cell_angle_beta 90.00
_cell_angle_gamma 90.00
_symmetry_space_group_name_H-M 'P 4/m m m'
_symmetry_Int_Tables_number 123
_symmetry_space_group_name_Hall '-P 4 2'
loop_
_atom_site_label
_atom_site_fract_x
_atom_site_fract_y
_atom_site_fract_z
_atom_site_occupancy
Hg1 0.000 0.000 0.000 1
Te1 0.500 0.500 0.500 1
I1 0.000 0.500 0.500 1
O1 0.500 0.500 0.000 1
```

No. 4
Here is crystalline HgTe2IO at its relaxed geometry from Alexandria via LeMat-Bulk. Energies are from GGA-PBE.

Calculated values
DOS at the Fermi energy = 4.90 states/eV/cell

```
data_HgTe2IO
_cell_length_a 4.488
_cell_length_b 4.488
_cell_length_c 7.858
_cell_angle_alpha 90.00
_cell_angle_beta 90.00
_cell_angle_gamma 90.00
_symmetry_space_group_name_H-M 'P 4/m m m'
_symmetry_Int_Tables_number 123
_symmetry_space_group_name_Hall '-P 4 2'
loop_
_atom_site_label
_atom_site_fract_x
_atom_site_fract_y
_atom_site_fract_z
_atom_site_occupancy
Hg1 0.000 0.000 0.000 1
Te1 0.000 0.500 0.500 1
I1 0.500 0.500 0.000 1
O1 0.500 0.500 0.500 1
```

| no. | energy relative to the lowest polymorph listed for this composition (meV per atom) | total moment (μB per formula unit) |
| --- | --- | --- |
| 1 | 442 | 0.0 |
| 2 | 903 | 4.2 |
| 3 | 0 | 0.0 |
| 4 | 0 | 0.0 |